No. 1
BaLiTa4 (PBE-GGA, relaxed); E_tot = -7.642 eV/atom; space-group type = F-43m, No. 216; DFT formation energy = 0.899 eV per atom
1.0
0.000 4.087 4.087
4.087 0.000 4.087
4.087 4.087 0.000
Ba Li Ta
1 1 4
Cartesian
0.000 0.000 0.000
6.131 6.131 6.131
3.055 3.055 3.055
5.120 5.120 3.055
5.120 3.055 5.120
3.055 5.120 5.120

---

No. 2
BaLi2Ta (PBE-GGA, relaxed); E_tot = -3.644 eV/atom; space-group type = Pmmm, No. 47; energy relative to the lowest polymorph listed for this composition = 0.37 eV/f.u.; DFT formation energy = 0.757 eV per atom
1.0
3.042 0.000 0.000
0.000 4.593 0.000
0.000 0.000 6.708
Ba Li Ta
1 2 1
Cartesian
0.000 0.000 0.000
1.521 2.297 2.103
1.521 2.297 4.606
0.000 0.000 3.354

---

No. 3
BaLiTa2 (PBE-GGA, relaxed); E_tot = -5.920 eV/atom; space-group type = F-43m, No. 216; energy relative to the lowest polymorph listed for this composition = 1.62 eV/f.u.; DFT formation energy = 0.965 eV per atom
1.0
0.000 3.521 3.521
3.521 0.000 3.521
3.521 3.521 0.000
Ba Li Ta
1 1 2
Cartesian
0.000 0.000 0.000
5.281 5.281 5.281
1.760 1.760 1.760
3.521 3.521 3.521

---

| no. | magnetic moment (μB per atom) |
| --- | --- |
| 1 | 0.000 |
| 2 | 0.000 |
| 3 | 0.000 |